Below is a relaxed BeRh2Cl crystal, with properties calculated at the PBE-GGA level.

Structure (POSCAR):
```
BeRh2Cl
1.0
2.9207 0.0000 0.0000
0.0003 3.6374 0.0000
1.3191 1.4866 11.9973
Be Rh Cl
2 4 2
Cartesian
0.7303 0.9428 2.9870
3.5098 4.1811 9.0103
0.7305 0.9138 0.6104
2.0494 2.3873 9.9057
2.1907 2.7367 2.0916
3.5095 4.2102 11.3869
2.0481 3.5726 7.6547
2.1920 1.5514 4.3426
```

Output
ρ	6.52	Mg/m³
symmetry	P-1, No. 2
formation energy from raw total energies	-0.2891	eV/atom
N(E_F)	0.87	states/eV per atom
size of the total moment	0.0	μB/f.u.